Computed, not measured: a relaxed structure of Ti3NbPd at the PBE-GGA level of DFT.

Results
* excess energy over the best structure of this formula in the dataset: 0.0 meV per atom
* calculated formation energy: -219 meV/atom

Cell and atoms, written as CIF:
```
data_Ti3NbPd
_chemical_formula_sum 'Ti12 Nb4 Pd4'
_symmetry_space_group_name_H-M 'C 1 2/m 1'
_symmetry_Int_Tables_number 12
_cell_length_a 10.0197
_cell_length_b 3.3106
_cell_length_c 10.1016
_cell_angle_alpha 90.00
_cell_angle_beta 91.29
_cell_angle_gamma 90.00
loop_
_symmetry_equiv_pos_as_xyz
'x,y,z'
'-x,-y,-z'
'-x,y,-z'
'x,-y,z'
'x+1/2,y+1/2,z'
'-x+1/2,-y+1/2,-z'
'-x+1/2,y+1/2,-z'
'x+1/2,-y+1/2,z'
loop_
_atom_site_label
_atom_site_type_symbol
_atom_site_fract_x
_atom_site_fract_y
_atom_site_fract_z
Ti1 Ti 0.0371 0.0000 0.3492
Ti2 Ti 0.0536 0.5000 0.8575
Ti3 Ti 0.2418 0.5000 0.2430
Nb1 Nb 0.1586 0.5000 0.5541
Pd1 Pd 0.1426 0.0000 0.0551
```



Computed, not measured: a relaxed structure of Tb2Pr2Nd5 at the PBE-GGA level of DFT.

Results
* excess energy over the best structure of this formula in the dataset: 0.0 meV per atom
* calculated formation energy: 14 meV/atom

Cell and atoms, written as CIF:
```
data_Tb2Pr2Nd5
_chemical_formula_sum 'Tb4 Pr4 Nd10'
_symmetry_space_group_name_H-M 'C 1 2/m 1'
_symmetry_Int_Tables_number 12
_cell_length_a 15.5375
_cell_length_b 5.1836
_cell_length_c 8.1801
_cell_angle_alpha 90.00
_cell_angle_beta 108.52
_cell_angle_gamma 90.00
loop_
_symmetry_equiv_pos_as_xyz
'x,y,z'
'-x,-y,-z'
'-x,y,-z'
'x,-y,z'
'x+1/2,y+1/2,z'
'-x+1/2,-y+1/2,-z'
'-x+1/2,y+1/2,-z'
'x+1/2,-y+1/2,z'
loop_
_atom_site_label
_atom_site_type_symbol
_atom_site_fract_x
_atom_site_fract_y
_atom_site_fract_z
Tb1 Tb 0.2224 0.0000 0.3350
Pr1 Pr 0.1666 0.5000 0.9993
Nd1 Nd 0.0000 0.0000 0.0000
Nd2 Nd 0.0571 0.5000 0.3342
Nd3 Nd 0.1119 0.0000 0.6646
```



Computed, not measured: a relaxed structure of Cd2Pd8Se at the PBE-GGA level of DFT.

Results
* formation energy from raw total energies: -0.22 eV/atom

Cell and atoms, written as CIF:
```
data_Cd2Pd8Se
_chemical_formula_sum 'Cd4 Pd16 Se2'
_symmetry_space_group_name_H-M 'I m m m'
_symmetry_Int_Tables_number 71
_symmetry_space_group_name_Hall '-I 2 2'
_cell_length_a 4.6383
_cell_length_b 5.7930
_cell_length_c 13.7717
_cell_angle_alpha 90.00
_cell_angle_beta 90.00
_cell_angle_gamma 90.00
loop_
_atom_site_label
_atom_site_type_symbol
_atom_site_fract_x
_atom_site_fract_y
_atom_site_fract_z
Cd1 Cd 0.0000 0.0000 0.1842
Pd1 Pd 0.0000 0.2497 0.0000
Pd2 Pd 0.0000 0.2577 0.3612
Pd3 Pd 0.0000 0.5000 0.1837
Se1 Se 0.0000 0.0000 0.5000
```